Record 1
First-principles (PBE) data for crystalline KInOs2 at its relaxed geometry, as listed in the Alexandria database.

a b c (Å): 5.4745 5.4745 5.4745
angles (deg): 136.61 136.61 63.04
Closest atoms and distances in Å follow each position.
Element x y z (fractional)
In1 0.2500 0.7500 0.5000  4 K 2.86, 8 Os 3.09
K1 0.7500 0.2500 0.5000  4 In 2.86, 8 Os 3.09
Os1 0.0000 0.0000 0.0000  4 Os 2.86, 4 In 3.09, 4 K 3.09
Os2 0.5000 0.5000 0.0000  4 Os 2.86, 4 In 3.09, 4 K 3.09

**E_form**: 1532 meV/atom
**Uncorrected energy**: -0.3706 Ry per atom
**Crystal system**: tetragonal



Record 2
First-principles (PBE) data for crystalline KReS4 at its relaxed geometry, as listed in the Alexandria database.

a b c (Å): 6.7915 8.5522 7.0484
angles (deg): 127.35 97.26 90.00
Closest atoms and distances in Å follow each position.
Element x y z (fractional)
K1 0.7377 0.8141 0.6282  8 S 3.29-3.55
K2 0.2623 0.1859 0.3718  8 S 3.29-3.55
Re1 0.1876 0.5761 0.1522  3 S 2.17-2.29
Re2 0.8124 0.4239 0.8478  3 S 2.17-2.29
S1 0.2088 0.7712 0.5424  1 Re 2.17
S2 0.5310 0.2255 0.8263  1 S 2.06
S3 0.0000 0.2896 0.0000  2 Re 2.29
S4 0.4690 0.3992 0.1737  1 S 2.06
S5 0.7912 0.2288 0.4576  1 Re 2.17
S6 0.4690 0.7745 0.1737  1 S 2.06
S7 0.0000 0.7104 0.0000  2 Re 2.29
S8 0.5310 0.6008 0.8263  1 S 2.06

**Uncorrected formation energy**: -0.421 eV per atom
**Uncorrected energy**: -0.3991 Ry per atom
**Crystal system**: monoclinic



Record 3
First-principles (PBE) data for crystalline Zr2TaOs at its relaxed geometry, as listed in the Alexandria database.

a b c (Å): 5.4104 5.4207 3.0375
angles (deg): 79.02 79.65 116.66
Closest atoms and distances in Å follow each position.
Element x y z (fractional)
Os1 0.0000 0.5000 0.5000  4 Zr 2.84, 2 Ta 2.85, 2 Os 3.04
Ta1 0.5000 0.5000 0.0000  4 Zr 2.84, 2 Os 2.85, 2 Ta 3.04
Zr1 0.0000 0.0000 0.0000  2 Os 2.84, 2 Ta 2.84, 4 Zr 2.85-3.04
Zr2 0.5000 0.0000 0.5000  2 Ta 2.84, 2 Os 2.84, 4 Zr 2.85-3.04

**E_form**: -33 meV/atom
**Uncorrected energy**: -0.7407 Ry per atom
**Crystal system**: monoclinic



Record 4
First-principles (PBE) data for crystalline La2Pm3PrDy6 at its relaxed geometry, as listed in the Alexandria database.

a b c (Å): 6.2891 6.2891 11.8802
angles (deg): 95.04 95.04 120.01
Closest atoms and distances in Å follow each position.
Element x y z (fractional)
La1 0.3334 0.6666 0.0000  6 Dy 3.62, 3 La 3.63, 3 Pr 3.63
La2 0.6666 0.3334 0.0000  6 Dy 3.62, 3 La 3.63, 3 Pr 3.63
Pm1 0.1665 0.8335 0.5000  6 Dy 3.57-3.58, 6 Pm 3.63
Pm2 0.8335 0.1665 0.5000  6 Dy 3.57-3.58, 6 Pm 3.63
Pm3 0.5000 0.5000 0.5000  6 Dy 3.57-3.58, 6 Pm 3.63
Pr1 0.0000 0.0000 0.0000  6 Dy 3.62, 6 La 3.63
Dy1 0.9155 0.5826 0.7476  3 Pm 3.57-3.58, 2 La 3.62, 1 Pr 3.62, 6 Dy 3.63
Dy2 0.7517 0.7517 0.2524  3 Pm 3.57-3.58, 1 Pr 3.62, 2 La 3.62, 6 Dy 3.63
Dy3 0.0845 0.4174 0.2524  3 Pm 3.57-3.58, 2 La 3.62, 1 Pr 3.62, 6 Dy 3.63
Dy4 0.5826 0.9155 0.7476  3 Pm 3.57-3.58, 2 La 3.62, 1 Pr 3.62, 6 Dy 3.63
Dy5 0.2483 0.2483 0.7476  3 Pm 3.57-3.58, 1 Pr 3.62, 2 La 3.62, 6 Dy 3.63
Dy6 0.4174 0.0845 0.2524  3 Pm 3.57-3.58, 2 La 3.62, 1 Pr 3.62, 6 Dy 3.63

**E_form**: 13 meV/atom
**Uncorrected energy**: -0.3451 Ry per atom
**Crystal system**: monoclinic



Record 5
First-principles (PBE) data for crystalline Nd3Ga2 at its relaxed geometry, as listed in the Alexandria database.

a b c (Å): 11.4888 11.4888 11.4888
angles (deg): 117.02 117.02 95.25
Closest atoms and distances in Å follow each position.
Element x y z (fractional)
Nd1 0.1492 0.6492 0.5000  4 Ga 3.03-3.16, 1 Nd 3.12
Nd2 0.6492 0.1492 0.5000  4 Ga 3.03-3.16, 1 Nd 3.12
Nd3 0.8508 0.3508 0.5000  4 Ga 3.03-3.16, 1 Nd 3.12
Nd4 0.3508 0.8508 0.5000  4 Ga 3.03-3.16, 1 Nd 3.12
Nd5 0.6665 0.1665 0.8330  4 Ga 3.15-3.44
Nd6 0.3335 0.8335 0.1670  4 Ga 3.15-3.44
Nd7 0.1665 0.3335 0.5000  4 Ga 3.15-3.44
Nd8 0.8335 0.6665 0.5000  4 Ga 3.15-3.44
Nd9 0.0654 0.9338 0.2672  5 Ga 3.10-3.27
Nd10 0.6666 0.7982 0.7328  5 Ga 3.10-3.27
Nd11 0.5654 0.2982 0.1316  5 Ga 3.10-3.27
Nd12 0.1666 0.4338 0.8684  5 Ga 3.10-3.27
Nd13 0.7982 0.0654 0.1316  5 Ga 3.10-3.27
Nd14 0.9338 0.6666 0.8684  5 Ga 3.10-3.27
Nd15 0.4338 0.5654 0.2672  5 Ga 3.10-3.27
Nd16 0.2982 0.1666 0.7328  5 Ga 3.10-3.27
Nd17 0.9346 0.0662 0.7328  5 Ga 3.10-3.27
Nd18 0.3334 0.2018 0.2672  5 Ga 3.10-3.27
Nd19 0.4346 0.7018 0.8684  5 Ga 3.10-3.27
Nd20 0.8334 0.5662 0.1316  5 Ga 3.10-3.27
Nd21 0.2018 0.9346 0.8684  5 Ga 3.10-3.27
Nd22 0.0662 0.3334 0.1316  5 Ga 3.10-3.27
Nd23 0.5662 0.4346 0.7328  5 Ga 3.10-3.27
Nd24 0.7018 0.8334 0.2672  5 Ga 3.10-3.27
Ga1 0.7500 0.7500 0.0000  8 Nd 3.10
Ga2 0.2500 0.2500 0.0000  8 Nd 3.10
Ga3 0.0000 0.0000 0.0000  8 Nd 3.27
Ga4 0.5000 0.5000 0.0000  8 Nd 3.27
Ga5 0.1153 0.6153 0.7306  6 Nd 3.03-3.10
Ga6 0.8847 0.3847 0.2694  6 Nd 3.03-3.10
Ga7 0.6153 0.8847 0.5000  6 Nd 3.03-3.10
Ga8 0.3847 0.1153 0.5000  6 Nd 3.03-3.10
Ga9 0.8826 0.3826 0.8591  1 Ga 2.80
Ga10 0.5235 0.0235 0.1409  1 Ga 2.80
Ga11 0.3826 0.5235 0.5000  1 Ga 2.80
Ga12 0.0235 0.8826 0.5000  1 Ga 2.80
Ga13 0.1174 0.6174 0.1409  1 Ga 2.80
Ga14 0.4765 0.9765 0.8591  1 Ga 2.80
Ga15 0.6174 0.4765 0.5000  1 Ga 2.80
Ga16 0.9765 0.1174 0.5000  1 Ga 2.80

**E_form**: -482 meV/atom
**Uncorrected energy**: -0.3347 Ry per atom
**Crystal system**: tetragonal



Record 6
First-principles (PBE) data for crystalline ZrHgBi at its relaxed geometry, as listed in the Alexandria database.

a b c (Å): 4.1666 4.1666 8.7672
angles (deg): 90.00 90.00 90.00
Closest atoms and distances in Å follow each position.
Element x y z (fractional)
Zr1 0.0000 0.5000 0.7241  5 Bi 3.04-3.17, 4 Hg 3.19
Zr2 0.5000 0.0000 0.2759  5 Bi 3.04-3.17, 4 Hg 3.19
Hg1 0.0000 0.0000 0.0000  4 Hg 2.95, 4 Zr 3.19
Hg2 0.5000 0.5000 0.0000  4 Hg 2.95, 4 Zr 3.19
Bi1 0.0000 0.5000 0.3625  5 Zr 3.04-3.17
Bi2 0.5000 0.0000 0.6375  5 Zr 3.04-3.17

**E_form**: -109 meV/atom
**Uncorrected energy**: -0.3199 Ry per atom
**Crystal system**: tetragonal



Record 7
First-principles (PBE) data for crystalline CaBeZn2 at its relaxed geometry, as listed in the Alexandria database.

a b c (Å): 4.0635 3.1568 5.8330
angles (deg): 76.89 90.00 90.00
Closest atoms and distances in Å follow each position.
Element x y z (fractional)
Be1 0.5000 0.2500 0.2500  4 Zn 2.41
Zn1 0.0000 0.1037 0.0612  2 Be 2.41, 1 Zn 2.57
Zn2 0.0000 0.3963 0.4388  2 Be 2.41, 1 Zn 2.57
Ca1 0.5000 0.7500 0.7500  2 Be 2.98, 8 Zn 3.10-3.15, 2 Ca 3.16

**E_form**: 101 meV/atom
**Uncorrected energy**: -0.1446 Ry per atom
**Crystal system**: monoclinic



Record 8
First-principles (PBE) data for crystalline Y4ZnS2 at its relaxed geometry, as listed in the Alexandria database.

a b c (Å): 3.9406 6.6901 13.5080
angles (deg): 90.00 90.00 107.13
Closest atoms and distances in Å follow each position.
Element x y z (fractional)
Y1 0.7708 0.5417 0.1198  3 S 2.71-2.74, 2 Zn 3.03
Y2 0.7708 0.5417 0.3802  3 S 2.71-2.74, 2 Zn 3.03
Y3 0.2292 0.4583 0.8802  3 S 2.71-2.74, 2 Zn 3.03
Y4 0.2292 0.4583 0.6198  3 S 2.71-2.74, 2 Zn 3.03
Y5 0.9410 0.8821 0.7500  2 S 2.75, 2 Zn 2.96
Y6 0.0590 0.1179 0.2500  2 S 2.75, 2 Zn 2.96
Y7 0.5000 0.0000 0.0000  4 S 2.75
Y8 0.5000 0.0000 0.5000  4 S 2.75
Zn1 0.6135 0.2269 0.7500  6 Y 2.96-3.03
Zn2 0.3865 0.7731 0.2500  6 Y 2.96-3.03
S1 0.1355 0.2711 0.4399  6 Y 2.71-2.75
S2 0.8645 0.7289 0.9399  6 Y 2.71-2.75
S3 0.1355 0.2711 0.0601  6 Y 2.71-2.75
S4 0.8645 0.7289 0.5601  6 Y 2.71-2.75

**Uncorrected formation energy**: -1.271 eV per atom
**Uncorrected energy**: -0.4650 Ry per atom
**Crystal system**: orthorhombic



Record 9
First-principles (PBE) data for crystalline Pm3Ir2Pd at its relaxed geometry, as listed in the Alexandria database.

a b c (Å): 3.5803 5.0030 7.8775
angles (deg): 108.51 90.00 90.00
Closest atoms and distances in Å follow each position.
Element x y z (fractional)
Pm1 0.5000 0.5000 0.0000  4 Ir 3.04, 4 Pd 3.08
Pm2 0.5000 0.8287 0.6574  6 Ir 3.04-3.08, 2 Pd 3.12
Pm3 0.5000 0.1713 0.3426  6 Ir 3.04-3.08, 2 Pd 3.12
Ir1 0.0000 0.3356 0.6713  8 Pm 3.04-3.08
Ir2 0.0000 0.6644 0.3287  8 Pm 3.04-3.08
Pd1 0.0000 0.0000 0.0000  8 Pm 3.08-3.12

**E_form**: -687 meV/atom
**Uncorrected energy**: -0.5058 Ry per atom
**Crystal system**: orthorhombic



Record 10
First-principles (PBE) data for crystalline Y2BeCdPd6 at its relaxed geometry, as listed in the Alexandria database.

a b c (Å): 6.2534 6.2736 6.6389
angles (deg): 61.86 61.96 90.11
Closest atoms and distances in Å follow each position.
Element x y z (fractional)
Y1 0.7498 0.2498 0.5004  8 Pd 2.85-3.15
Y2 0.2502 0.7502 0.4996  8 Pd 2.85-3.15
Be1 0.5000 0.5000 0.0000  6 Pd 2.12-2.22
Cd1 0.0000 0.0000 0.0000  6 Pd 2.61-2.73
Pd1 0.2753 0.2753 0.4494  1 Be 2.22
Pd2 0.8144 0.6267 0.0000  1 Be 2.12
Pd3 0.3733 0.8133 0.0000  1 Be 2.12
Pd4 0.6267 0.1867 0.0000  1 Be 2.12
Pd5 0.1856 0.3733 0.0000  1 Be 2.12
Pd6 0.7247 0.7247 0.5506  1 Be 2.22

**E_form**: -457 meV/atom
**Uncorrected energy**: -0.3917 Ry per atom
**Crystal system**: monoclinic